Crystalline Na2SmVF8 at its relaxed geometry. Source: Alexandria via LeMat-Bulk, functional PBE+U.

The uncorrected energy is -68.46 eV for the cell shown. The density of states at the Fermi level comes out at 0.0000 states/eV per atom. Its crystal system is monoclinic.

a b c (Å): 3.747 7.430 5.534
angles (deg): 90.00 90.22 90.00
Space group P2/m (No. 10)
Inequivalent atoms, fractional coordinates:
Na 0.000 0.230 0.000 (multiplicity 2)
Sm 0.500 0.500 0.500 (multiplicity 1)
V 0.500 0.000 0.500 (multiplicity 1)
F 0.001 0.500 0.745 (multiplicity 2)
F 0.002 0.000 0.290 (multiplicity 2)
F 0.499 0.228 0.724 (multiplicity 4)